Computed, not measured: an optimized crystal structure of Mg3Cd at the PBEsol level of DFT.

Unit cell a=3.166 b=5.023 c=5.387 alpha=90.00 beta=90.00 gamma=90.00
Atoms (fractional coordinates):
Mg 0.000 0.500 0.333
Mg 0.500 0.000 0.497
Mg 0.500 0.500 0.836
Cd 0.000 0.000 0.000

Summary:
The value obtained for the magnetic moment is 0.00 μB/f.u. For the formation energy, the calculation gives -63 meV per atom.

Computed, not measured: an optimized crystal structure of MnB3Se at the PBEsol level of DFT.

Unit cell a=3.912 b=3.912 c=3.912 alpha=90.00 beta=90.00 gamma=90.00
Each line ends with the local moment (μB).
Atoms (fractional coordinates):
B 0.000 0.500 0.000  -0.01
B 0.000 0.000 0.500  -0.01
B 0.500 0.000 0.000  -0.01
Mn 0.000 0.000 0.000  1.54
Se 0.500 0.500 0.500  0.40

Summary:
The value obtained for the magnetic moment is 2.07 μB/f.u. Its uncorrected formation energy is 1.365 eV per atom.

Computed, not measured: an optimized crystal structure of TcRuRh2 at the PBEsol level of DFT.

Unit cell a=4.280 b=4.280 c=4.280 alpha=60.00 beta=60.00 gamma=60.00
Atoms (fractional coordinates):
Rh 0.250 0.250 0.250
Rh 0.750 0.750 0.750
Ru 0.000 0.000 0.000
Tc 0.500 0.500 0.500

Summary:
The value obtained for the magnetic moment is 0.00 μB/f.u. For the formation energy, the calculation gives 477 meV per atom.

Computed, not measured: an optimized crystal structure of Sc3Rh2 at the PBEsol level of DFT.

Unit cell a=4.457 b=4.457 c=5.506 alpha=90.00 beta=90.00 gamma=120.00
Atoms (fractional coordinates):
Sc 0.000 0.000 0.000
Sc 0.333 0.667 0.340
Sc 0.667 0.333 0.660
Rh 0.333 0.667 0.839
Rh 0.667 0.333 0.161

Summary:
The value obtained for the magnetic moment is 0.00 μB/f.u. For the formation energy, the calculation gives -733 meV per atom.

Computed, not measured: an optimized crystal structure of LaTaCo2 at the PBEsol level of DFT.

Unit cell a=4.052 b=4.052 c=5.891 alpha=69.88 beta=69.88 gamma=60.00
Each line ends with the local moment (μB).
Atoms (fractional coordinates):
La 0.492 0.492 0.524  -0.01
Co 0.016 0.016 0.952  0.75
Co 0.692 0.692 0.925  0.79
Ta 0.300 0.300 0.099  -0.07

Summary:
The value obtained for the magnetic moment is 1.41 μB/f.u. For the formation energy, the calculation gives 165 meV per atom.

Computed, not measured: an optimized crystal structure of ReP2Pb at the PBEsol level of DFT.

Unit cell a=3.298 b=4.193 c=4.935 alpha=90.00 beta=90.00 gamma=90.00
Atoms (fractional coordinates):
P 0.000 0.000 0.000
P 0.500 0.000 0.500
Pb 0.500 0.500 0.000
Re 0.000 0.500 0.500

Summary:
The value obtained for the magnetic moment is 0.00 μB/f.u. For the formation energy, the calculation gives 1004 meV per atom.

Computed, not measured: an optimized crystal structure of Al2CrSb at the PBEsol level of DFT.

Unit cell a=4.061 b=4.061 c=5.081 alpha=113.55 beta=113.55 gamma=90.00
Each line ends with the local moment (μB).
Atoms (fractional coordinates):
Sb 0.250 0.750 0.500  -0.02
Al 0.000 0.000 0.000  -0.02
Al 0.750 0.250 0.500  -0.03
Cr 0.500 0.500 0.000  2.90

Summary:
The value obtained for the magnetic moment is 3.05 μB/f.u. Its uncorrected formation energy is 0.246 eV per atom.

Computed, not measured: an optimized crystal structure of InBi3Ru at the PBEsol level of DFT.

Unit cell a=5.538 b=5.538 c=5.538 alpha=90.00 beta=90.00 gamma=90.00
Each line ends with the local moment (μB).
Atoms (fractional coordinates):
Ru 0.500 0.500 0.500  2.16
Bi 0.000 0.500 0.000  -0.07
Bi 0.000 0.000 0.500  -0.07
Bi 0.500 0.000 0.000  -0.07
In 0.000 0.000 0.000  0.00

Summary:
The value obtained for the magnetic moment is 2.11 μB/f.u. For the formation energy, the calculation gives 1643 meV per atom.

Computed, not measured: an optimized crystal structure of CrCd3Cl at the PBEsol level of DFT.

Unit cell a=5.268 b=5.268 c=5.268 alpha=90.00 beta=90.00 gamma=90.00
Each line ends with the local moment (μB).
Atoms (fractional coordinates):
Cr 0.000 0.000 0.000  3.94
Cl 0.500 0.500 0.500  0.05
Cd 0.000 0.500 0.000  0.04
Cd 0.000 0.000 0.500  0.04
Cd 0.500 0.000 0.000  0.04

Summary:
The value obtained for the magnetic moment is 4.84 μB/f.u. Its uncorrected formation energy is 0.523 eV per atom.

Computed, not measured: an optimized crystal structure of BaP10 at the PBEsol level of DFT.

Unit cell a=6.413 b=7.005 c=11.782 alpha=90.00 beta=90.00 gamma=117.24
Atoms (fractional coordinates):
Ba 0.811 0.622 0.001
Ba 0.189 0.378 0.501
P 0.619 0.237 0.606
P 0.381 0.763 0.106
P 0.930 0.860 0.556
P 0.070 0.140 0.056
P 0.598 0.196 0.788
P 0.402 0.804 0.288
P 0.197 0.395 0.926
P 0.803 0.605 0.426
P 0.095 0.190 0.774
P 0.905 0.810 0.274
P 0.451 0.902 0.563
P 0.549 0.098 0.063
P 0.129 0.744 0.667
P 0.871 0.256 0.167
P 0.385 0.256 0.167
P 0.615 0.744 0.667
P 0.227 0.958 0.820
P 0.773 0.042 0.320
P 0.269 0.042 0.320
P 0.731 0.958 0.820

Summary:
The value obtained for the magnetic moment is 0.00 μB/f.u. For the formation energy, the calculation gives -253 meV per atom.

Computed, not measured: an optimized crystal structure of CaMgBr3 at the PBEsol level of DFT.

Unit cell a=5.232 b=5.232 c=5.232 alpha=90.00 beta=90.00 gamma=90.00
Atoms (fractional coordinates):
Ca 0.500 0.500 0.500
Mg 0.000 0.000 0.000
Br 0.000 0.500 0.000
Br 0.000 0.000 0.500
Br 0.500 0.000 0.000

Summary:
The value obtained for the magnetic moment is 0.00 μB/f.u. Its uncorrected formation energy is -1.161 eV per atom.

Computed, not measured: an optimized crystal structure of Sc2InAu2 at the PBEsol level of DFT.

Unit cell a=6.874 b=7.555 c=7.555 alpha=90.00 beta=90.00 gamma=90.00
Atoms (fractional coordinates):
Sc 0.000 0.152 0.152
Sc 0.000 0.848 0.848
Sc 0.500 0.652 0.348
Sc 0.500 0.348 0.652
Sc 0.000 0.682 0.318
Sc 0.000 0.318 0.682
Sc 0.500 0.818 0.818
Sc 0.500 0.182 0.182
In 0.250 0.500 0.000
In 0.750 0.500 0.000
In 0.250 0.000 0.500
In 0.750 0.000 0.500
Au 0.221 0.369 0.369
Au 0.779 0.631 0.631
Au 0.221 0.631 0.631
Au 0.721 0.869 0.131
Au 0.279 0.869 0.131
Au 0.779 0.369 0.369
Au 0.279 0.131 0.869
Au 0.721 0.131 0.869

Summary:
The value obtained for the magnetic moment is 0.00 μB/f.u. For the formation energy, the calculation gives -789 meV per atom.

Computed, not measured: an optimized crystal structure of AlCr2Re at the PBEsol level of DFT.

Unit cell a=2.581 b=4.089 c=4.926 alpha=90.00 beta=101.69 gamma=90.00
Atoms (fractional coordinates):
Re 0.538 0.000 0.499
Al 0.230 0.500 0.759
Cr 0.963 0.000 0.998
Cr 0.769 0.500 0.243

Summary:
The value obtained for the magnetic moment is 0.00 μB/f.u. For the formation energy, the calculation gives -23 meV per atom.

Computed, not measured: an optimized crystal structure of GeRuIO2 at the PBEsol level of DFT.

Unit cell a=3.838 b=3.838 c=5.949 alpha=90.00 beta=90.00 gamma=90.00
Each line ends with the local moment (μB).
Atoms (fractional coordinates):
I 0.000 0.000 0.500  -0.01
Ru 0.000 0.000 0.000  0.02
Ge 0.500 0.500 0.500  0.12
O 0.000 0.500 0.000  0.01
O 0.500 0.000 0.000  0.01

Summary:
The value obtained for the magnetic moment is 0.32 μB/f.u. Its uncorrected formation energy is -0.039 eV per atom.

Computed, not measured: an optimized crystal structure of KBeCdGa2 at the PBEsol level of DFT.

Unit cell a=5.051 b=5.051 c=6.093 alpha=90.00 beta=90.00 gamma=90.00
Atoms (fractional coordinates):
Be 0.500 0.500 0.500
K 0.000 0.000 0.500
Ga 0.000 0.500 0.000
Ga 0.500 0.000 0.000
Cd 0.000 0.000 0.000

Summary:
The value obtained for the magnetic moment is 0.00 μB/f.u. For the formation energy, the calculation gives 913 meV per atom.

Computed, not measured: an optimized crystal structure of Rb3RuO at the PBEsol level of DFT.

Unit cell a=5.387 b=5.387 c=5.387 alpha=90.00 beta=90.00 gamma=90.00
Each line ends with the local moment (μB).
Atoms (fractional coordinates):
Ru 0.000 0.000 0.000  0.03
O 0.500 0.500 0.500  0.40
Rb 0.000 0.500 0.000  0.00
Rb 0.000 0.000 0.500  0.00
Rb 0.500 0.000 0.000  0.00

Summary:
The value obtained for the magnetic moment is 0.46 μB/f.u. Its uncorrected formation energy is 1.045 eV per atom.

Computed, not measured: an optimized crystal structure of GeP3F at the PBEsol level of DFT.

Unit cell a=4.623 b=4.623 c=4.623 alpha=90.00 beta=90.00 gamma=90.00
Atoms (fractional coordinates):
P 0.000 0.500 0.000
P 0.000 0.000 0.500
P 0.500 0.000 0.000
Ge 0.000 0.000 0.000
F 0.500 0.500 0.500

Summary:
The value obtained for the magnetic moment is 0.00 μB/f.u. Its uncorrected formation energy is 0.909 eV per atom.

Computed, not measured: an optimized crystal structure of YTa2Zn at the PBEsol level of DFT.

Unit cell a=2.948 b=5.032 c=5.524 alpha=97.63 beta=90.00 gamma=107.03
Atoms (fractional coordinates):
Ta 0.010 0.020 0.986
Ta 0.264 0.527 0.800
Y 0.488 0.975 0.479
Zn 0.739 0.477 0.236

Summary:
The value obtained for the magnetic moment is 0.00 μB/f.u. For the formation energy, the calculation gives 293 meV per atom.

Computed, not measured: an optimized crystal structure of Sc3Te at the PBEsol level of DFT.

Unit cell a=3.735 b=3.735 c=6.431 alpha=90.00 beta=90.00 gamma=90.00
Atoms (fractional coordinates):
Sc 0.000 0.000 0.756
Sc 0.500 0.500 0.500
Sc 0.000 0.000 0.244
Te 0.500 0.500 0.000

Summary:
The value obtained for the magnetic moment is 0.00 μB/f.u. Its uncorrected formation energy is -0.571 eV per atom.

Computed, not measured: an optimized crystal structure of Zr2N2O at the PBEsol level of DFT.

Unit cell a=3.281 b=6.976 c=8.196 alpha=100.01 beta=90.00 gamma=103.60
Atoms (fractional coordinates):
Zr 0.031 0.063 0.808
Zr 0.630 0.259 0.474
Zr 0.694 0.389 0.131
Zr 0.306 0.611 0.869
Zr 0.370 0.741 0.526
Zr 0.969 0.937 0.192
N 0.534 0.069 0.656
N 0.172 0.345 0.966
N 0.127 0.253 0.287
N 0.873 0.747 0.713
N 0.828 0.655 0.034
N 0.466 0.931 0.344
O 0.210 0.420 0.620
O 0.790 0.580 0.380
O 0.500 0.000 0.000

Summary:
The value obtained for the magnetic moment is 0.00 μB/f.u. Its uncorrected formation energy is -2.214 eV per atom.